(1)
Below is a geometry-optimized YBeGeIr structure, with properties calculated at the PBE level.

POSCAR file:
```
YBeGeIr
1.0
0.000 3.166 3.166
3.166 0.000 3.166
3.166 3.166 0.000
Ge Y Ir Be
1 1 1 1
direct
0.250 0.250 0.250
0.500 0.500 0.500
0.000 0.000 0.000
0.750 0.750 0.750
```

Computed properties:
- SG = F-43m


(2)
Below is a geometry-optimized YBeGeIr structure, with properties calculated at the PBE level.

POSCAR file:
```
YBeGeIr
1.0
0.000 3.201 3.201
3.201 0.000 3.201
3.201 3.201 0.000
Ge Be Y Ir
1 1 1 1
direct
0.000 0.000 0.000
0.750 0.750 0.750
0.500 0.500 0.500
0.250 0.250 0.250
```

Computed properties:
- SG = F-43m


(3)
Below is a geometry-optimized YBeGeIr structure, with properties calculated at the PBE level.

POSCAR file:
```
YBeGeIr
1.0
0.000 3.240 3.240
3.240 0.000 3.240
3.240 3.240 0.000
Y Ir Ge Be
1 1 1 1
direct
0.250 0.250 0.250
0.000 0.000 0.000
0.500 0.500 0.500
0.750 0.750 0.750
```

Computed properties:
- SG = F-43m


Order of stability, best first: (1), (2), (3)


(1)
Below is a geometry-optimized MgBeGePd structure, with properties calculated at the PBE level.

POSCAR file:
```
MgBeGePd
1.0
0.000 3.092 3.092
3.092 0.000 3.092
3.092 3.092 0.000
Ge Be Mg Pd
1 1 1 1
direct
0.000 0.000 0.000
0.750 0.750 0.750
0.250 0.250 0.250
0.500 0.500 0.500
```

Computed properties:
- SG = F-43m


(2)
Below is a geometry-optimized MgBeGePd structure, with properties calculated at the PBE level.

POSCAR file:
```
MgBeGePd
1.0
0.000 3.083 3.083
3.083 0.000 3.083
3.083 3.083 0.000
Pd Mg Be Ge
1 1 1 1
direct
0.250 0.250 0.250
0.750 0.750 0.750
0.500 0.500 0.500
0.000 0.000 0.000
```

Computed properties:
- SG = F-43m


Order of stability, best first: (1), (2)


(1)
Below is a geometry-optimized BeNiGeMo structure, with properties calculated at the PBE level.

POSCAR file:
```
BeNiGeMo
1.0
0.000 2.928 2.928
2.928 0.000 2.928
2.928 2.928 0.000
Ge Be Mo Ni
1 1 1 1
direct
0.000 0.000 0.000
0.250 0.250 0.250
0.500 0.500 0.500
0.750 0.750 0.750
```

Computed properties:
- SG = F-43m


(2)
Below is a geometry-optimized BeNiGeMo structure, with properties calculated at the PBE level.

POSCAR file:
```
BeNiGeMo
1.0
-0.112 -4.051 0.771
-3.561 -2.060 -0.306
-0.578 -2.672 -3.089
Be Ge Mo Ni
1 1 1 1
direct
0.500 0.500 0.500
0.000 0.000 0.000
0.250 0.250 0.250
0.750 0.750 0.750
```

Computed properties:
- SG = F-43m


Order of stability, best first: (2), (1)